Record 1
Compound: Al3W
Source: Alexandria
Functional: meta-GGA SCAN
Structure: single point on PBEsol structure

## Properties
The total energy is -93.4 eV per cell. The spin magnetization is 0.00 μB/atom.

```
data_Al3W
_space_group_name_H-M_alt 'P m m 2'
_space_group_IT_number 25
_cell_length_a 2.756
_cell_length_b 4.558
_cell_length_c 4.819
_cell_angle_alpha 90.00
_cell_angle_beta 90.00
_cell_angle_gamma 90.00
loop_
_space_group_symop_operation_xyz
'x,y,z'
'-x,-y,z'
'-x,y,z'
'x,-y,z'
loop_
_atom_site_label
_atom_site_type_symbol
_atom_site_fract_x
_atom_site_fract_y
_atom_site_fract_z
_atom_site_occupancy
Al1 Al 0.000 0.000 0.000 1
Al2 Al 0.000 0.500 0.323 1
Al3 Al 0.500 0.000 0.503 1
W1 W 0.500 0.500 0.817 1
```


Record 2
Compound: AlW
Source: Alexandria
Functional: meta-GGA SCAN
Structure: single point on PBEsol structure

## Properties
The total energy is -309.2 eV per cell. The spin magnetization is 0.00 μB/atom.

```
data_AlW
_space_group_name_H-M_alt 'C m m e'
_space_group_IT_number 67
_space_group_name_Hall '-C 2a 2'
_cell_length_a 3.201
_cell_length_b 4.403
_cell_length_c 8.805
_cell_angle_alpha 90.00
_cell_angle_beta 90.00
_cell_angle_gamma 90.00
loop_
_atom_site_label
_atom_site_type_symbol
_atom_site_fract_x
_atom_site_fract_y
_atom_site_fract_z
_atom_site_occupancy
Al1 Al 0.000 0.250 0.132 1
W1 W 0.000 0.250 0.625 1
```